Record 1
NdSnRh3: optimized geometry, PBE.

ρ: 9.7 g cm⁻³
Density of states at the Fermi level: 4.011 states/eV/f.u.
Volume: 19.5 A^3/atom
Formation enthalpy at 0 K: -492 meV per atom
Total energy: -0.48930 Ry/atom

Structure (POSCAR):
```
NdSnRh3
1.0
6.3999 1.4821 -0.1097
-1.7691 6.3266 0.1097
-3.4687 -3.2204 4.5568
Nd Rh Sn
2 6 2
direct
0.9876 0.7376 0.7500
0.0124 0.2624 0.2500
0.5000 0.6999 0.6999
0.0000 0.3001 0.8001
0.2963 0.0463 0.7500
0.7037 0.9537 0.2500
0.0000 0.6999 0.1999
0.5000 0.3001 0.3001
0.5000 0.5000 0.0000
0.5000 0.0000 0.5000
```

Record 2
Co3HgBr: optimized geometry, PBE.

ρ: 9.2 g cm⁻³
Density of states at the Fermi level: 7.461 states/eV/f.u.
ΔE_f (raw): 1049.7 meV/atom
Volume: 16.6 A^3/atom
Offset from the most stable computed form: 0.0 meV/atom
Total energy: -0.26524 Ry/atom

Structure (POSCAR):
```
Co3HgBr
1.0
-1.9186 2.9435 -2.5843
-3.7360 -0.5104 2.1922
1.1771 3.1779 2.7458
Co Br Hg
3 1 1
direct
0.5000 0.0000 0.0000
0.0000 0.5000 0.0000
0.0000 0.0000 0.5000
0.0000 0.0000 0.0000
0.5000 0.5000 0.5000
```

Record 3
ThTiAs2: optimized geometry, PBE.

ρ: 5.4 g cm⁻³
Density of states at the Fermi level: 3.363 states/eV/f.u.
Volume: 32.9 A^3/atom
Formation enthalpy at 0 K: -174 meV per atom
Total energy: -0.46508 Ry/atom

Structure (POSCAR):
```
ThTiAs2
1.0
4.3610 0.0000 0.0000
2.1805 3.7767 0.0000
2.1805 1.2589 7.9836
Ti As Th
1 2 1
direct
0.0000 0.0000 0.0000
0.8975 0.8975 0.3076
0.1025 0.1025 0.6924
0.5000 0.5000 0.5000
```

Record 4
LiLaAu: optimized geometry, PBE.

ρ: 8.0 g cm⁻³
Density of states at the Fermi level: 1.950 states/eV/f.u.
Volume: 23.6 A^3/atom
Offset from the most stable computed form: 98.6 meV/atom
Formation enthalpy at 0 K: -463 meV per atom
Total energy: -0.28196 Ry/atom

Structure (POSCAR):
```
LiLaAu
1.0
5.6457 -0.0349 0.0396
4.4045 3.5318 0.0293
1.2412 0.4414 3.5393
La Li Au
1 1 1
direct
0.3442 0.3442 0.6558
0.6391 0.6391 0.3609
0.0167 0.0167 0.9833
```

Record 5
Dy2Tm2Sc7: optimized geometry, PBE.

ρ: 5.4 g cm⁻³
Density of states at the Fermi level: 19.279 states/eV/f.u.
Volume: 27.1 A^3/atom
Offset from the most stable computed form: 0.0 meV/atom
Formation enthalpy at 0 K: 163 meV per atom
Total energy: -0.40541 Ry/atom

Structure (POSCAR):
```
Dy2Tm2Sc7
1.0
-7.8397 -1.6547 8.2592
8.1912 2.7739 -2.0348
7.5680 8.6657 0.2051
Dy Sc Tm
2 7 2
direct
0.8873 0.4133 0.1127
0.1127 0.5867 0.8873
0.0000 0.0000 0.0000
0.5380 0.4018 0.9742
0.5512 0.3135 0.4488
0.4488 0.6865 0.5512
0.4620 0.5982 0.0258
0.9742 0.5982 0.5380
0.0258 0.4018 0.4620
0.2972 0.5000 0.2972
0.7028 0.5000 0.7028
```

Record 6
Mn2AgW: optimized geometry, PBE.

ρ: 11.4 g cm⁻³
Density of states at the Fermi level: 4.215 states/eV/f.u.
Volume: 14.7 A^3/atom
Offset from the most stable computed form: 322.3 meV/atom
Formation enthalpy at 0 K: 646 meV per atom
Total energy: -0.57988 Ry/atom

Structure (POSCAR):
```
Mn2AgW
1.0
-3.5179 -1.9798 1.6536
-3.1774 -1.3761 -2.6532
-0.6047 -4.2715 -0.6465
Ag Mn W
1 2 1
direct
0.5000 0.5000 0.5000
0.0000 0.0000 0.0000
0.2500 0.2500 0.2500
0.7500 0.7500 0.7500
```

Record 7
YRu2Se: optimized geometry, PBE.

ρ: 8.3 g cm⁻³
Density of states at the Fermi level: 3.838 states/eV/f.u.
ΔE_f (raw): -192.0 meV/atom
Volume: 18.5 A^3/atom
Total energy: -0.53779 Ry/atom

Structure (POSCAR):
```
YRu2Se
1.0
5.1739 -0.0130 0.0113
4.1762 3.0544 0.0113
1.6693 0.5430 4.6625
Ru Y Se
2 1 1
direct
0.9765 0.9765 0.1129
0.2480 0.2480 0.2121
0.7458 0.7458 0.7382
0.5297 0.5297 0.4368
```

Record 8
Li3Sm2Al2: optimized geometry, PBE.

ρ: 3.7 g cm⁻³
Density of states at the Fermi level: 5.856 states/eV/f.u.
Volume: 24.4 A^3/atom
Formation enthalpy at 0 K: -160 meV per atom
Total energy: -0.24971 Ry/atom

Structure (POSCAR):
```
Li3Sm2Al2
1.0
-0.2789 0.0707 -3.5154
4.4837 -0.1052 -0.3578
-2.5097 -10.6996 -0.0161
Li Sm Al
3 2 2
direct
0.5000 0.5691 0.1383
0.5000 0.4309 0.8617
0.0000 0.0000 0.0000
0.0000 0.1606 0.3213
0.0000 0.8394 0.6787
0.5000 0.2830 0.5661
0.5000 0.7170 0.4339
```

Copy entry 8 word for word.
Li3Sm2Al2: optimized geometry, PBE.

ρ: 3.7 g cm⁻³
Density of states at the Fermi level: 5.856 states/eV/f.u.
Volume: 24.4 A^3/atom
Formation enthalpy at 0 K: -160 meV per atom
Total energy: -0.24971 Ry/atom

Structure (POSCAR):
```
Li3Sm2Al2
1.0
-0.2789 0.0707 -3.5154
4.4837 -0.1052 -0.3578
-2.5097 -10.6996 -0.0161
Li Sm Al
3 2 2
direct
0.5000 0.5691 0.1383
0.5000 0.4309 0.8617
0.0000 0.0000 0.0000
0.0000 0.1606 0.3213
0.0000 0.8394 0.6787
0.5000 0.2830 0.5661
0.5000 0.7170 0.4339
```

Q: The lowest volume belongs to which entry?
A: Mn2AgW